1.
# MnCrIO2 | Alexandria | GGA-PBEsol | optimized geometry
data_MnCrIO2
_symmetry_space_group_name_H-M 'P 4/m m m'
_symmetry_Int_Tables_number 123
_symmetry_space_group_name_Hall '-P 4 2'
_cell_length_a 3.772
_cell_length_b 3.772
_cell_length_c 5.620
_cell_angle_alpha 90.00
_cell_angle_beta 90.00
_cell_angle_gamma 90.00
loop_
_atom_site_label
_atom_site_type_symbol
_atom_site_fract_x
_atom_site_fract_y
_atom_site_fract_z
Mn1 Mn 0.000 0.000 0.000
Cr1 Cr 0.500 0.500 0.500
I1 I 0.000 0.000 0.500
O1 O 0.000 0.500 0.000
# **Energy relative to the elements, uncorrected**: -0.302 eV per atom
# **DFT total energy**: -6.755 eV/atom
# **Size of the total moment**: 1.607 μB per atom

2.
# CrSiMoI2 | Alexandria | GGA-PBEsol | optimized geometry
data_CrSiMoI2
_symmetry_space_group_name_H-M 'P 4/m m m'
_symmetry_Int_Tables_number 123
_symmetry_space_group_name_Hall '-P 4 2'
_cell_length_a 5.201
_cell_length_b 5.201
_cell_length_c 4.546
_cell_angle_alpha 90.00
_cell_angle_beta 90.00
_cell_angle_gamma 90.00
loop_
_atom_site_label
_atom_site_type_symbol
_atom_site_fract_x
_atom_site_fract_y
_atom_site_fract_z
Cr1 Cr 0.000 0.000 0.000
Si1 Si 0.500 0.500 0.500
Mo1 Mo 0.000 0.000 0.500
I1 I 0.000 0.500 0.000
# **Energy relative to the elements, uncorrected**: 1.335 eV per atom
# **DFT total energy**: -4.923 eV/atom
# **Size of the total moment**: 0.040 μB per atom

3.
# Cr2IN | Alexandria | GGA-PBEsol | optimized geometry
data_Cr2IN
_symmetry_space_group_name_H-M 'F m -3 m'
_symmetry_Int_Tables_number 225
_symmetry_space_group_name_Hall '-F 4 2 3'
_cell_length_a 5.924
_cell_length_b 5.924
_cell_length_c 5.924
_cell_angle_alpha 90.00
_cell_angle_beta 90.00
_cell_angle_gamma 90.00
loop_
_atom_site_label
_atom_site_type_symbol
_atom_site_fract_x
_atom_site_fract_y
_atom_site_fract_z
Cr1 Cr 0.250 0.250 0.250
I1 I 0.000 0.000 0.000
N1 N 0.000 0.000 0.500
# **Energy relative to the elements, uncorrected**: 1.176 eV per atom
# **DFT total energy**: -6.518 eV/atom
# **Size of the total moment**: 0.906 μB per atom

4.
# CrINO2 | Alexandria | GGA-PBEsol | optimized geometry
data_CrINO2
_symmetry_space_group_name_H-M 'P 4/m m m'
_symmetry_Int_Tables_number 123
_symmetry_space_group_name_Hall '-P 4 2'
_cell_length_a 3.878
_cell_length_b 3.878
_cell_length_c 4.140
_cell_angle_alpha 90.00
_cell_angle_beta 90.00
_cell_angle_gamma 90.00
loop_
_atom_site_label
_atom_site_type_symbol
_atom_site_fract_x
_atom_site_fract_y
_atom_site_fract_z
Cr1 Cr 0.000 0.000 0.000
I1 I 0.500 0.500 0.000
N1 N 0.500 0.500 0.500
O1 O 0.000 0.500 0.500
# **Energy relative to the elements, uncorrected**: 1.140 eV per atom
# **DFT total energy**: -5.067 eV/atom
# **Size of the total moment**: 0.732 μB per atom

5.
# CrINO2 | Alexandria | GGA-PBEsol | optimized geometry
data_CrINO2
_symmetry_space_group_name_H-M 'P 4/m m m'
_symmetry_Int_Tables_number 123
_symmetry_space_group_name_Hall '-P 4 2'
_cell_length_a 3.466
_cell_length_b 3.466
_cell_length_c 5.663
_cell_angle_alpha 90.00
_cell_angle_beta 90.00
_cell_angle_gamma 90.00
loop_
_atom_site_label
_atom_site_type_symbol
_atom_site_fract_x
_atom_site_fract_y
_atom_site_fract_z
Cr1 Cr 0.000 0.000 0.000
I1 I 0.000 0.000 0.500
N1 N 0.500 0.500 0.500
O1 O 0.000 0.500 0.000
# **Energy relative to the elements, uncorrected**: -0.096 eV per atom
# **DFT total energy**: -6.302 eV/atom
# **Size of the total moment**: 0.036 μB per atom

6.
# CrPIN2 | Alexandria | GGA-PBEsol | optimized geometry
data_CrPIN2
_symmetry_space_group_name_H-M 'P 4/m m m'
_symmetry_Int_Tables_number 123
_symmetry_space_group_name_Hall '-P 4 2'
_cell_length_a 3.569
_cell_length_b 3.569
_cell_length_c 6.363
_cell_angle_alpha 90.00
_cell_angle_beta 90.00
_cell_angle_gamma 90.00
loop_
_atom_site_label
_atom_site_type_symbol
_atom_site_fract_x
_atom_site_fract_y
_atom_site_fract_z
Cr1 Cr 0.000 0.000 0.000
P1 P 0.500 0.500 0.500
I1 I 0.500 0.500 0.000
N1 N 0.000 0.500 0.500
# **Energy relative to the elements, uncorrected**: 1.105 eV per atom
# **DFT total energy**: -5.866 eV/atom
# **Size of the total moment**: 0.930 μB per atom